4
Lattice="0.000 3.749 3.749 3.749 0.000 3.749 3.749 3.749 0.000" Properties=species:S:1:pos:R:3 comment="DyInSnHg | Alexandria | GGA-PBE | relaxed" magnetic_moment_mub_per_cell=0.00 final_energy_ev_per_atom=-3.15 e_above_lowest_polymorph_kj_per_mol_atoms=18.9 formation_energy_mev_per_atom=-236 spacegroup="F-43m, No. 216" mass_density_g_cm3=9.4 pbc="T T T"
Dy 0.000 0.000 0.000
In 3.749 3.749 3.749
Sn 5.624 5.624 5.624
Hg 1.875 1.875 1.875



4
Lattice="4.544 0.000 0.000 0.000 4.569 0.000 0.000 0.000 4.780" Properties=species:S:1:pos:R:3 comment="DyInSnHg | Alexandria | GGA-PBE | relaxed" magnetic_moment_mub_per_cell=0.00 final_energy_ev_per_atom=-3.34 e_above_lowest_polymorph_kj_per_mol_atoms=0.0 formation_energy_mev_per_atom=-432 spacegroup="Pmmm, No. 47" mass_density_g_cm3=10.0 pbc="T T T"
Dy 0.000 0.000 0.000
In 0.000 2.284 2.390
Sn 2.272 2.284 0.000
Hg 2.272 0.000 2.390



Repeat the first record exactly.
4
Lattice="0.000 3.749 3.749 3.749 0.000 3.749 3.749 3.749 0.000" Properties=species:S:1:pos:R:3 comment="DyInSnHg | Alexandria | GGA-PBE | relaxed" magnetic_moment_mub_per_cell=0.00 final_energy_ev_per_atom=-3.15 e_above_lowest_polymorph_kj_per_mol_atoms=18.9 formation_energy_mev_per_atom=-236 spacegroup="F-43m, No. 216" mass_density_g_cm3=9.4 pbc="T T T"
Dy 0.000 0.000 0.000
In 3.749 3.749 3.749
Sn 5.624 5.624 5.624
Hg 1.875 1.875 1.875